Record 1
Compound: ZrScSn3
Source: Alexandria
Functional: GGA-PBE
Structure: relaxed

Summary:
The total magnetization comes out at 0.00 μB per cell. Its density of states at the Fermi level is 7.102 states/eV/cell. The formation energy is 8.7 kcal/mol of atoms. The energy above the most stable polymorph in this dataset is 0.00 eV/f.u.

abc: 5.4626 5.4626 5.4626
angles: 90.00 90.00 90.00
Atoms (fractional coordinates):
Sc 0.5000 0.5000 0.5000
Sn 0.0000 0.5000 0.0000
Sn 0.0000 0.0000 0.5000
Sn 0.5000 0.0000 0.0000
Zr 0.0000 0.0000 0.0000

=====

Record 2
Compound: In3SbW
Source: Alexandria
Functional: GGA-PBE
Structure: relaxed

Summary:
The total magnetization comes out at 1.66 μB per cell. Its density of states at the Fermi level is 7.215 states/eV/cell. The energy above the most stable polymorph in this dataset is 0.00 eV/f.u. For the energy relative to the elements, uncorrected, the calculation gives 0.905 eV/atom.

abc: 5.3481 5.3481 5.3481
angles: 90.00 90.00 90.00
Last column: magnetic moment on the atom in μB.
Atoms (fractional coordinates):
Sb 0.5000 0.5000 0.5000  0.21
W 0.0000 0.0000 0.0000  0.87
In 0.0000 0.5000 0.0000  0.00
In 0.0000 0.0000 0.5000  0.02
In 0.5000 0.0000 0.0000  0.02

=====

Record 3
Compound: Ac4Tl2SeI
Source: Alexandria
Functional: GGA-PBE
Structure: relaxed

Summary:
The total magnetization comes out at 0.00 μB per cell. Its density of states at the Fermi level is 5.663 states/eV/cell. For the energy relative to the elements, uncorrected, the calculation gives -0.822 eV/atom.

abc: 4.7059 8.3393 8.1528
angles: 71.14 90.00 90.00
Atoms (fractional coordinates):
Ac 0.0000 0.7555 0.7331
Ac 0.0000 0.2445 0.2669
Ac 0.5000 0.7425 0.2662
Ac 0.5000 0.2575 0.7338
Tl 0.0000 0.0000 0.0000
Tl 0.5000 0.0000 0.5000
Se 0.0000 0.5000 0.5000
I 0.5000 0.5000 0.0000

=====

Record 4
Compound: AlHgO2
Source: Alexandria
Functional: GGA-PBE
Structure: relaxed

Summary:
The total magnetization comes out at 0.00 μB per cell. Its density of states at the Fermi level is 1.116 states/eV/cell. The energy above the most stable polymorph in this dataset is 4.03 eV/f.u. For the energy relative to the elements, uncorrected, the calculation gives -0.803 eV/atom.

abc: 6.2263 6.2263 6.2263
angles: 33.20 33.20 33.20
Atoms (fractional coordinates):
Hg 0.5000 0.5000 0.5000
O 0.9032 0.9032 0.9032
O 0.0968 0.0968 0.0968
Al 0.0000 0.0000 0.0000

=====

Record 5
Compound: Ac5Zn4Pt
Source: Alexandria
Functional: GGA-PBE
Structure: relaxed

Summary:
The total magnetization comes out at 0.00 μB per cell. Its density of states at the Fermi level is 8.177 states/eV/cell. The formation energy is -9.4 kcal/mol of atoms.

abc: 3.8934 3.8934 19.3918
angles: 90.00 90.00 90.00
Atoms (fractional coordinates):
Ac 0.5000 0.5000 0.0923
Ac 0.5000 0.5000 0.2977
Ac 0.5000 0.5000 0.5000
Ac 0.5000 0.5000 0.7023
Ac 0.5000 0.5000 0.9077
Zn 0.0000 0.0000 0.1997
Zn 0.0000 0.0000 0.3984
Zn 0.0000 0.0000 0.6016
Zn 0.0000 0.0000 0.8003
Pt 0.0000 0.0000 0.0000

=====

Record 6
Compound: Sr6LiCa3
Source: Alexandria
Functional: GGA-PBE
Structure: relaxed

Summary:
The total magnetization comes out at 0.00 μB per cell. Its density of states at the Fermi level is 24.416 states/eV/cell. The formation energy is 2.1 kcal/mol of atoms. The energy above the most stable polymorph in this dataset is 0.59 eV/f.u.

abc: 5.9068 11.8955 13.9076
angles: 90.00 89.99 90.00
Atoms (fractional coordinates):
Sr 0.4999 0.1649 0.9565
Sr 0.4999 0.2040 0.6326
Sr 0.4998 0.4719 0.2726
Sr 0.5002 0.5281 0.7274
Sr 0.5001 0.7960 0.3674
Sr 0.5001 0.8351 0.0435
Sr 0.9999 0.3351 0.4565
Sr 0.9999 0.2960 0.1326
Sr 0.9998 0.0281 0.7727
Sr 0.0002 0.9719 0.2273
Sr 0.0001 0.7040 0.8674
Sr 0.0001 0.6649 0.5435
Li 0.5000 0.5000 0.5000
Li 0.0000 0.0000 0.0000
Ca 0.5000 0.8533 0.6658
Ca 0.5000 0.5000 0.0000
Ca 0.5000 0.1467 0.3342
Ca 0.0000 0.6467 0.1658
Ca 0.0000 0.0000 0.5000
Ca 0.0000 0.3533 0.8342

=====

Record 7
Compound: Tb2YThN4
Source: Alexandria
Functional: GGA-PBE
Structure: relaxed

Summary:
The total magnetization comes out at 0.00 μB per cell. Its density of states at the Fermi level is 1.734 states/eV/cell. For the energy relative to the elements, uncorrected, the calculation gives -1.658 eV/atom.

abc: 3.5479 6.1217 6.1229
angles: 109.33 90.00 90.00
Atoms (fractional coordinates):
Tb 0.5000 0.0000 0.5000
Tb 0.0000 0.5000 0.5000
Y 0.0000 0.0000 0.0000
Th 0.5000 0.5000 0.0000
N 0.5000 0.2506 0.2485
N 0.5000 0.7494 0.7515
N 0.0000 0.2491 0.7496
N 0.0000 0.7509 0.2504

=====

Record 8
Compound: Pm2TlSi
Source: Alexandria
Functional: GGA-PBE
Structure: relaxed

Summary:
The total magnetization comes out at 0.00 μB per cell. Its density of states at the Fermi level is 4.051 states/eV/cell. For the energy relative to the elements, uncorrected, the calculation gives -0.413 eV/atom.

abc: 4.2285 4.2285 8.1763
angles: 75.01 75.01 60.00
Atoms (fractional coordinates):
Tl 0.0000 0.0000 0.0000
Si 0.5000 0.5000 0.5000
Pm 0.7649 0.7649 0.7052
Pm 0.2351 0.2351 0.2948

=====

Record 9
Compound: TlSi4Tc
Source: Alexandria
Functional: GGA-PBE
Structure: relaxed

Summary:
The total magnetization comes out at 0.00 μB per cell. Its density of states at the Fermi level is 2.885 states/eV/cell. For the energy relative to the elements, uncorrected, the calculation gives 0.668 eV/atom.

abc: 5.1625 5.1625 5.1625
angles: 60.00 60.00 60.00
Atoms (fractional coordinates):
Tl 0.0000 0.0000 0.0000
Si 0.3769 0.3769 0.3769
Si 0.3769 0.8692 0.3769
Si 0.3769 0.3769 0.8692
Si 0.8692 0.3769 0.3769
Tc 0.7500 0.7500 0.7500

=====

Record 10
Compound: Sc2VIn
Source: Alexandria
Functional: GGA-PBE
Structure: relaxed

Summary:
The total magnetization comes out at 2.76 μB per cell. Its density of states at the Fermi level is 3.925 states/eV/cell. The formation energy is -2.8 kcal/mol of atoms.

abc: 3.4788 3.4788 6.9083
angles: 90.00 90.00 90.00
Last column: magnetic moment on the atom in μB.
Atoms (fractional coordinates):
Sc 0.0000 0.0000 0.7734  0.11
Sc 0.0000 0.0000 0.2266  0.11
V 0.5000 0.5000 0.0000  2.05
In 0.5000 0.5000 0.5000  -0.01

=====

Record 11
Compound: GdDyCl
Source: Alexandria
Functional: GGA-PBE
Structure: relaxed

Summary:
The total magnetization comes out at 7.56 μB per cell. Its density of states at the Fermi level is 2.779 states/eV/cell. For the energy relative to the elements, uncorrected, the calculation gives -0.911 eV/atom.

abc: 3.6903 3.6903 6.9977
angles: 90.00 90.00 120.00
Last column: magnetic moment on the atom in μB.
Atoms (fractional coordinates):
Cl 0.6667 0.3333 0.3365  0.00
Gd 0.0000 0.0000 0.0228  7.17
Dy 0.3333 0.6667 0.6407  0.11

=====

Record 12
Compound: Nd2PdI
Source: Alexandria
Functional: GGA-PBE
Structure: relaxed

Summary:
The total magnetization comes out at 0.00 μB per cell. Its density of states at the Fermi level is 3.599 states/eV/cell. The energy above the most stable polymorph in this dataset is 0.00 eV/f.u. For the energy relative to the elements, uncorrected, the calculation gives -0.860 eV/atom.

abc: 4.2556 4.2556 8.5068
angles: 75.51 75.51 60.00
Atoms (fractional coordinates):
Nd 0.0633 0.0633 0.8101
Nd 0.2705 0.2705 0.1885
Pd 0.6670 0.6670 0.9990
I 0.4992 0.4992 0.5024

=====

Record 13
Compound: LaBeCrAg2
Source: Alexandria
Functional: GGA-PBE
Structure: relaxed

Summary:
The total magnetization comes out at 4.44 μB per cell. Its density of states at the Fermi level is 3.489 states/eV/cell. The formation energy is 41.9 kcal/mol of atoms.

abc: 5.5681 5.4166 5.5681
angles: 90.00 90.00 90.00
Last column: magnetic moment on the atom in μB.
Atoms (fractional coordinates):
Cr 0.0000 0.5000 0.0000  3.82
Be 0.5000 0.5000 0.5000  -0.02
Ag 0.0000 0.0000 0.5000  0.03
Ag 0.5000 0.0000 0.0000  -0.01
La 0.0000 0.0000 0.0000  0.08

=====

Record 14
Compound: Ho2Cu2Ni5Ge
Source: Alexandria
Functional: GGA-PBE
Structure: relaxed

Summary:
The total magnetization comes out at 0.00 μB per cell. Its density of states at the Fermi level is 8.356 states/eV/cell. The formation energy is -7.4 kcal/mol of atoms.

abc: 3.5856 8.9910 8.9910
angles: 90.00 90.00 90.00
Atoms (fractional coordinates):
Ho 0.0000 0.6773 0.1773
Ho 0.0000 0.3227 0.8227
Ho 0.0000 0.1773 0.3227
Ho 0.0000 0.8227 0.6773
Cu 0.0000 0.1199 0.6199
Cu 0.0000 0.8801 0.3801
Cu 0.0000 0.6199 0.8801
Cu 0.0000 0.3801 0.1199
Ni 0.5000 0.2014 0.0591
Ni 0.5000 0.7986 0.9409
Ni 0.5000 0.0591 0.7986
Ni 0.5000 0.7014 0.4409
Ni 0.5000 0.9409 0.2014
Ni 0.5000 0.2986 0.5591
Ni 0.5000 0.5591 0.7014
Ni 0.5000 0.4409 0.2986
Ni 0.5000 0.5000 0.0000
Ni 0.5000 0.0000 0.5000
Ge 0.0000 0.0000 0.0000
Ge 0.0000 0.5000 0.5000

=====

Record 15
Compound: Cr2OsRu
Source: Alexandria
Functional: GGA-PBE
Structure: relaxed

Summary:
The total magnetization comes out at 0.00 μB per cell. Its density of states at the Fermi level is 5.961 states/eV/cell. The formation energy is 2.7 kcal/mol of atoms. The energy above the most stable polymorph in this dataset is 0.09 eV/f.u.

abc: 4.5209 4.5209 2.6843
angles: 90.00 90.00 107.52
Atoms (fractional coordinates):
Cr 0.0000 0.0000 0.0000
Cr 0.5000 0.5000 0.0000
Os 0.5000 0.0000 0.5000
Ru 0.0000 0.5000 0.5000

=====

Record 16
Compound: Sn2HS
Source: Alexandria
Functional: GGA-PBE
Structure: relaxed

Summary:
The total magnetization comes out at 0.00 μB per cell. Its density of states at the Fermi level is 3.952 states/eV/cell. The energy above the most stable polymorph in this dataset is 0.00 eV/f.u.

abc: 5.9762 5.9762 6.6589
angles: 63.34 63.34 90.00
Atoms (fractional coordinates):
H 0.5000 0.5000 0.0000
H 0.2500 0.7500 0.5000
S 0.0000 0.0000 0.0000
S 0.7500 0.2500 0.5000
Sn 0.5567 0.1250 0.2500
Sn 0.1933 0.6250 0.2500
Sn 0.3750 0.4433 0.7500
Sn 0.8750 0.8067 0.7500

=====

Record 17
Compound: Ba2NbAlC
Source: Alexandria
Functional: GGA-PBE
Structure: relaxed

Summary:
The total magnetization comes out at 2.96 μB per cell. Its density of states at the Fermi level is 4.506 states/eV/cell. The formation energy is 38.9 kcal/mol of atoms.

abc: 5.9644 4.9922 5.9644
angles: 90.00 90.00 90.00
Last column: magnetic moment on the atom in μB.
Atoms (fractional coordinates):
C 0.5000 0.5000 0.5000  1.05
Nb 0.0000 0.0000 0.0000  0.34
Ba 0.0000 0.0000 0.5000  0.04
Ba 0.5000 0.0000 0.0000  0.03
Al 0.0000 0.5000 0.0000  -0.01

=====

Record 18
Compound: RbTl2ZnF6
Source: Alexandria
Functional: GGA-PBE
Structure: relaxed

Summary:
The total magnetization comes out at 0.00 μB per cell. Its density of states at the Fermi level is 8.912 states/eV/cell. For the energy relative to the elements, uncorrected, the calculation gives -2.087 eV/atom.

abc: 6.0152 6.8431 8.9125
angles: 90.00 89.47 90.00
Atoms (fractional coordinates):
Rb 0.5000 0.0000 0.0000
Rb 0.0000 0.5000 0.5000
Tl 0.0072 0.9733 0.2729
Tl 0.5072 0.5267 0.7729
Tl 0.9928 0.0267 0.7271
Tl 0.4928 0.4733 0.2271
Zn 0.5000 0.0000 0.5000
Zn 0.0000 0.5000 0.0000
F 0.2990 0.6445 0.0138
F 0.7990 0.8555 0.5138
F 0.7010 0.3555 0.9862
F 0.2010 0.1445 0.4862
F 0.3464 0.7818 0.3690
F 0.8464 0.7182 0.8690
F 0.6536 0.2182 0.6310
F 0.1536 0.2818 0.1310
F 0.8685 0.6322 0.1942
F 0.3685 0.8678 0.6942
F 0.1315 0.3678 0.8058
F 0.6315 0.1322 0.3058

=====

Record 19
Compound: Mg2ZrCu
Source: Alexandria
Functional: GGA-PBE
Structure: relaxed

Summary:
The total magnetization comes out at 0.00 μB per cell. Its density of states at the Fermi level is 2.240 states/eV/cell. The formation energy is -1.4 kcal/mol of atoms.

abc: 3.2054 3.0022 8.1331
angles: 90.00 90.00 90.00
Atoms (fractional coordinates):
Mg 0.0000 0.0000 0.9572
Mg 0.5000 0.5000 0.2470
Cu 0.5000 0.5000 0.7569
Zr 0.0000 0.0000 0.5389

=====

Record 20
Compound: Ag2AuBr
Source: Alexandria
Functional: GGA-PBE
Structure: relaxed

Summary:
The total magnetization comes out at 0.00 μB per cell. Its density of states at the Fermi level is 0.769 states/eV/cell. The energy above the most stable polymorph in this dataset is 0.73 eV/f.u. For the energy relative to the elements, uncorrected, the calculation gives 0.142 eV/atom.

abc: 6.3878 6.3878 6.3878
angles: 39.23 39.23 39.23
Atoms (fractional coordinates):
Au 0.5219 0.5219 0.5219
Br 0.7419 0.7419 0.7419
Ag 0.9875 0.9875 0.9875
Ag 0.2488 0.2488 0.2488